(1)
The following is a DFT calculation (PBE) of an optimized crystal structure of Y3Ga2Hg4.

Properties
**Magnetization**: 0.00 μB per cell
**Total DFT energy (no corrections)**: -3.437 eV/atom
**DFT formation energy**: -0.48 eV/atom

a = 4.763 Å, b = 5.980 Å, c = 8.956 Å
α = 113.89°, β = 90.00°, γ = 113.47°
Element x y z (fractional)
Y  0.665  0.329  0.672
Y  0.000  0.000  0.000
Y  0.335  0.671  0.328
Ga  0.605  0.210  0.274
Ga  0.395  0.790  0.726
Hg  0.696  0.393  0.038
Hg  0.304  0.607  0.962
Hg  0.915  0.830  0.587
Hg  0.085  0.170  0.413

(2)
The following is a DFT calculation (PBE) of an optimized crystal structure of YGaHg.

Properties
**Magnetization**: 0.00 μB per cell
**Total DFT energy (no corrections)**: -3.786 eV/atom
**DFT formation energy**: -0.52 eV/atom

a = 4.534 Å, b = 5.999 Å, c = 5.882 Å
α = 92.71°, β = 112.83°, γ = 67.87°
Element x y z (fractional)
Y  0.546  0.778  0.748
Y  0.047  0.366  0.335
Hg  0.728  0.969  0.301
Hg  0.865  0.175  0.783
Ga  0.287  0.736  0.187
Ga  0.306  0.407  0.897

(3)
The following is a DFT calculation (PBE) of an optimized crystal structure of Y5GaHg2.

Properties
**Magnetization**: 0.00 μB per cell
**Total DFT energy (no corrections)**: -4.908 eV/atom
**DFT formation energy**: -0.41 eV/atom

a = 5.025 Å, b = 6.787 Å, c = 12.727 Å
α = 90.00°, β = 90.00°, γ = 90.00°
Element x y z (fractional)
Y  0.000  0.000  0.500
Y  0.000  0.500  0.000
Y  0.000  0.855  0.218
Y  0.000  0.145  0.782
Y  0.000  0.645  0.718
Y  0.000  0.355  0.282
Y  0.500  0.662  0.399
Y  0.500  0.338  0.601
Y  0.500  0.838  0.899
Y  0.500  0.162  0.101
Ga  0.000  0.500  0.500
Ga  0.000  0.000  0.000
Hg  0.500  0.603  0.152
Hg  0.500  0.397  0.848
Hg  0.500  0.897  0.652
Hg  0.500  0.103  0.348

(4)
The following is a DFT calculation (PBE) of an optimized crystal structure of YGaHg2.

Properties
**Magnetization**: 0.00 μB per cell
**Total DFT energy (no corrections)**: -2.706 eV/atom
**DFT formation energy**: -0.18 eV/atom

a = 4.409 Å, b = 4.409 Å, c = 10.888 Å
α = 78.32°, β = 78.32°, γ = 90.00°
Element x y z (fractional)
Y  0.000  0.000  0.000
Y  0.750  0.250  0.500
Hg  0.604  0.125  0.250
Hg  0.146  0.625  0.250
Hg  0.375  0.396  0.750
Hg  0.875  0.854  0.750
Ga  0.500  0.500  0.000
Ga  0.250  0.750  0.500

(5)
The following is a DFT calculation (PBE) of an optimized crystal structure of YGaHg2.

Properties
**Magnetization**: 0.00 μB per cell
**Total DFT energy (no corrections)**: -2.394 eV/atom
**DFT formation energy**: 0.13 eV/atom

a = 3.396 Å, b = 3.396 Å, c = 10.944 Å
α = 81.07°, β = 81.07°, γ = 60.00°
Element x y z (fractional)
Y  0.000  0.000  0.000
Hg  0.095  0.095  0.715
Hg  0.905  0.905  0.285
Ga  0.500  0.500  0.500

(6)
The following is a DFT calculation (PBE) of an optimized crystal structure of YZrGaHg.

Properties
**Magnetization**: 0.00 μB per cell
**Total DFT energy (no corrections)**: -4.951 eV/atom
**DFT formation energy**: -0.37 eV/atom

a = 5.024 Å, b = 5.024 Å, c = 5.024 Å
α = 60.00°, β = 60.00°, γ = 60.00°
Element x y z (fractional)
Y  0.000  0.000  0.000
Ga  0.750  0.750  0.750
Hg  0.250  0.250  0.250
Zr  0.500  0.500  0.500

(7)
The following is a DFT calculation (PBE) of an optimized crystal structure of Zn2Ga3Hg.

Properties
**Magnetization**: 0.00 μB per cell
**Total DFT energy (no corrections)**: -1.901 eV/atom
**DFT formation energy**: 0.09 eV/atom

a = 5.001 Å, b = 7.498 Å, c = 7.498 Å
α = 108.48°, β = 90.00°, γ = 90.00°
Element x y z (fractional)
Zn  0.500  0.797  0.203
Zn  0.000  0.797  0.203
Zn  0.000  0.203  0.797
Zn  0.500  0.203  0.797
Ga  0.750  0.471  0.064
Ga  0.750  0.064  0.471
Ga  0.250  0.529  0.936
Ga  0.750  0.064  0.064
Ga  0.250  0.936  0.936
Ga  0.250  0.936  0.529
Hg  0.250  0.600  0.600
Hg  0.750  0.400  0.400

(8)
The following is a DFT calculation (PBE) of an optimized crystal structure of ZnGaHg2.

Properties
**Magnetization**: 0.00 μB per cell
**Energy relative to the lowest polymorph listed for this composition**: 20 meV per atom
**Total DFT energy (no corrections)**: -1.097 eV/atom
**DFT formation energy**: 0.13 eV/atom

a = 3.204 Å, b = 3.204 Å, c = 10.205 Å
α = 80.97°, β = 80.97°, γ = 60.00°
Element x y z (fractional)
Zn  0.500  0.500  0.500
Hg  0.091  0.091  0.727
Hg  0.909  0.909  0.273
Ga  0.000  0.000  0.000

(9)
The following is a DFT calculation (PBE) of an optimized crystal structure of Zn3GaHg.

Properties
**Magnetization**: 0.00 μB per cell
**Energy relative to the lowest polymorph listed for this composition**: 0 meV per atom
**Total DFT energy (no corrections)**: -1.172 eV/atom
**DFT formation energy**: 0.26 eV/atom

a = 4.895 Å, b = 4.895 Å, c = 4.895 Å
α = 90.00°, β = 90.00°, γ = 90.00°
Element x y z (fractional)
Zn  0.000  0.500  0.000
Zn  0.000  0.000  0.500
Zn  0.500  0.000  0.000
Hg  0.500  0.500  0.500
Ga  0.000  0.000  0.000

(10)
The following is a DFT calculation (PBE) of an optimized crystal structure of ZnGa3Hg.

Properties
**Magnetization**: 0.00 μB per cell
**Energy relative to the lowest polymorph listed for this composition**: 0 meV per atom
**Total DFT energy (no corrections)**: -2.068 eV/atom
**DFT formation energy**: 0.06 eV/atom

a = 5.438 Å, b = 5.447 Å, c = 7.706 Å
α = 64.73°, β = 73.23°, γ = 83.53°
Element x y z (fractional)
Zn  0.228  0.382  0.925
Zn  0.730  0.255  0.919
Ga  0.368  0.263  0.282
Ga  0.177  0.081  0.708
Ga  0.850  0.676  0.057
Ga  0.859  0.004  0.279
Ga  0.661  0.797  0.701
Ga  0.339  0.830  0.074
Hg  0.773  0.381  0.491
Hg  0.247  0.686  0.515

(11)
The following is a DFT calculation (PBE) of an optimized crystal structure of Zn2GaHg.

Properties
**Magnetization**: 0.00 μB per cell
**Energy relative to the lowest polymorph listed for this composition**: 0 meV per atom
**Total DFT energy (no corrections)**: -1.375 eV/atom
**DFT formation energy**: 0.09 eV/atom

a = 3.258 Å, b = 3.258 Å, c = 8.471 Å
α = 78.91°, β = 78.91°, γ = 60.00°
Element x y z (fractional)
Zn  0.254  0.254  0.237
Zn  0.746  0.746  0.763
Hg  0.500  0.500  0.500
Ga  0.000  0.000  0.000

(12)
The following is a DFT calculation (PBE) of an optimized crystal structure of ZnGaHg2.

Properties
**Magnetization**: 0.00 μB per cell
**Energy relative to the lowest polymorph listed for this composition**: 18 meV per atom
**Total DFT energy (no corrections)**: -1.098 eV/atom
**DFT formation energy**: 0.13 eV/atom

a = 3.479 Å, b = 3.479 Å, c = 7.191 Å
α = 90.00°, β = 90.00°, γ = 90.00°
Element x y z (fractional)
Zn  0.500  0.500  0.000
Hg  0.000  0.000  0.762
Hg  0.000  0.000  0.238
Ga  0.500  0.500  0.500

(13)
The following is a DFT calculation (PBE) of an optimized crystal structure of ZnGaHg.

Properties
**Magnetization**: 0.00 μB per cell
**Energy relative to the lowest polymorph listed for this composition**: 0 meV per atom
**Total DFT energy (no corrections)**: -1.451 eV/atom
**DFT formation energy**: 0.08 eV/atom

a = 4.150 Å, b = 3.074 Å, c = 10.044 Å
α = 101.16°, β = 90.00°, γ = 90.00°
Element x y z (fractional)
Zn  0.136  0.143  0.998
Zn  0.636  0.038  0.829
Ga  0.636  0.701  0.096
Ga  0.136  0.484  0.723
Hg  0.636  0.002  0.525
Hg  0.136  0.827  0.305

(14)
The following is a DFT calculation (PBE) of an optimized crystal structure of ZnGaHg2.

Properties
**Magnetization**: 0.00 μB per cell
**Energy relative to the lowest polymorph listed for this composition**: 0 meV per atom
**Total DFT energy (no corrections)**: -1.117 eV/atom
**DFT formation energy**: 0.11 eV/atom

a = 3.838 Å, b = 4.754 Å, c = 4.754 Å
α = 90.00°, β = 90.00°, γ = 90.00°
Element x y z (fractional)
Zn  0.500  0.500  0.500
Hg  0.000  0.000  0.500
Hg  0.000  0.500  0.000
Ga  0.500  0.000  0.000

(15)
The following is a DFT calculation (PBE) of an optimized crystal structure of ZnGaHg.

Properties
**Magnetization**: 0.00 μB per cell
**Energy relative to the lowest polymorph listed for this composition**: 0 meV per atom
**Total DFT energy (no corrections)**: -1.451 eV/atom
**DFT formation energy**: 0.08 eV/atom

a = 3.362 Å, b = 8.094 Å, c = 8.965 Å
α = 90.00°, β = 90.00°, γ = 90.00°
Element x y z (fractional)
Hg  0.750  0.839  0.833
Hg  0.750  0.161  0.333
Hg  0.250  0.661  0.167
Hg  0.250  0.339  0.667
Zn  0.751  0.827  0.402
Zn  0.749  0.173  0.902
Zn  0.251  0.673  0.598
Zn  0.249  0.327  0.098
Ga  0.751  0.490  0.405
Ga  0.749  0.510  0.905
Ga  0.251  0.010  0.595
Ga  0.249  0.990  0.095

(16)
The following is a DFT calculation (PBE) of an optimized crystal structure of ZnGaHg.

Properties
**Magnetization**: 0.00 μB per cell
**Energy relative to the lowest polymorph listed for this composition**: 27 meV per atom
**Total DFT energy (no corrections)**: -1.424 eV/atom
**DFT formation energy**: 0.11 eV/atom

a = 3.389 Å, b = 3.389 Å, c = 5.816 Å
α = 106.94°, β = 106.94°, γ = 90.00°
Element x y z (fractional)
Zn  0.678  0.678  0.357
Hg  0.006  0.006  0.012
Ga  0.316  0.316  0.631

(17)
The following is a DFT calculation (PBE) of an optimized crystal structure of ZnGa3Hg.

Properties
**Magnetization**: 0.00 μB per cell
**Energy relative to the lowest polymorph listed for this composition**: 493 meV per atom
**Total DFT energy (no corrections)**: -1.575 eV/atom
**DFT formation energy**: 0.56 eV/atom

a = 5.248 Å, b = 5.248 Å, c = 5.248 Å
α = 90.00°, β = 90.00°, γ = 90.00°
Element x y z (fractional)
Zn  0.500  0.500  0.500
Hg  0.000  0.000  0.000
Ga  0.000  0.500  0.000
Ga  0.000  0.000  0.500
Ga  0.500  0.000  0.000

(18)
The following is a DFT calculation (PBE) of an optimized crystal structure of Zn3GaHg3.

Properties
**Magnetization**: 0.00 μB per cell
**Total DFT energy (no corrections)**: -0.721 eV/atom
**DFT formation energy**: 0.39 eV/atom

a = 7.467 Å, b = 7.467 Å, c = 7.467 Å
α = 90.00°, β = 90.00°, γ = 90.00°
Element x y z (fractional)
Zn  0.250  0.000  0.500
Zn  0.000  0.500  0.250
Zn  0.500  0.750  0.000
Zn  0.750  0.000  0.500
Zn  0.000  0.500  0.750
Zn  0.500  0.250  0.000
Hg  0.000  0.250  0.500
Hg  0.000  0.750  0.500
Hg  0.500  0.000  0.750
Hg  0.750  0.500  0.000
Hg  0.500  0.000  0.250
Hg  0.250  0.500  0.000
Ga  0.500  0.500  0.500
Ga  0.000  0.000  0.000

(19)
The following is a DFT calculation (PBE) of an optimized crystal structure of ZnGaHg2.

Properties
**Magnetization**: 0.00 μB per cell
**Energy relative to the lowest polymorph listed for this composition**: 1 meV per atom
**Total DFT energy (no corrections)**: -1.115 eV/atom
**DFT formation energy**: 0.11 eV/atom

a = 3.563 Å, b = 3.563 Å, c = 8.452 Å
α = 77.83°, β = 77.83°, γ = 60.00°
Element x y z (fractional)
Zn  0.667  0.667  0.999
Ga  0.499  0.499  0.502
Hg  0.080  0.080  0.759
Hg  0.253  0.253  0.240

(20)
The following is a DFT calculation (PBE) of an optimized crystal structure of ZnGaHg.

Properties
**Magnetization**: 0.00 μB per cell
**Energy relative to the lowest polymorph listed for this composition**: 0 meV per atom
**Total DFT energy (no corrections)**: -1.451 eV/atom
**DFT formation energy**: 0.08 eV/atom

a = 4.499 Å, b = 4.499 Å, c = 4.499 Å
α = 60.00°, β = 60.00°, γ = 60.00°
Element x y z (fractional)
Zn  0.250  0.250  0.250
Hg  0.000  0.000  0.000
Ga  0.500  0.500  0.500